[1]
Crystalline HoErI2 at its relaxed geometry. Source: Alexandria via LeMat-Bulk, functional PBE.

Output
Formation energy without anion corrections = -579.0 meV per atom
Raw total energy = -0.134 Ha/atom

Cell lengths 3.809, 3.809, 10.841 Å; angles 79.88, 79.88, 60.00 degrees
Sites, in units of the cell vectors:
I 0.098 0.098 0.707
I 0.902 0.902 0.293
Ho 0.000 0.000 0.000
Er 0.500 0.500 0.500


[2]
Crystalline HoErI6 at its relaxed geometry. Source: Alexandria via LeMat-Bulk, functional PBE.

Output
Formation energy without anion corrections = -1312.3 meV per atom
Raw total energy = -0.133 Ha/atom

Cell lengths 7.582, 7.580, 8.114 Å; angles 62.14, 62.15, 60.01 degrees
Sites, in units of the cell vectors:
Ho 0.500 0.500 0.500
Er 0.000 0.000 0.000
I 0.091 0.408 0.750
I 0.751 0.091 0.750
I 0.592 0.249 0.250
I 0.249 0.909 0.250
I 0.909 0.592 0.250
I 0.408 0.751 0.750


[3]
Crystalline Ho8Er3In4 at its relaxed geometry. Source: Alexandria via LeMat-Bulk, functional PBE.

Output
Raw total energy = -0.147 Ha/atom
Formation energy from the elements = 85 meV per atom

Cell lengths 11.113, 9.053, 9.053 Å; angles 88.75, 128.09, 128.09 degrees
Sites, in units of the cell vectors:
Ho 0.519 0.250 0.250
Ho 0.000 0.642 0.358
Ho 0.987 0.248 0.248
Ho 0.500 0.761 0.239
Ho 0.500 0.239 0.761
Ho 0.013 0.752 0.752
Ho 0.000 0.358 0.642
Ho 0.481 0.750 0.750
Er 0.500 0.500 0.000
Er 0.500 0.000 0.500
Er 0.500 0.500 0.500
In 0.500 0.000 0.000
In 0.000 0.500 0.000
In 0.000 0.000 0.000
In 0.000 0.000 0.500